## Ca2TcSn (PBE)

Data for a geometry-optimized Ca2TcSn structure.

Unit cell a=10.159 b=10.159 c=5.238 alpha=90.00 beta=90.00 gamma=90.00
Element x y z (fractional)
1 Ca 0.096 0.250 0.125
2 Ca 0.250 0.596 0.375
3 Ca 0.250 0.904 0.875
4 Ca 0.404 0.250 0.625
5 Ca 0.596 0.750 0.625
6 Ca 0.750 0.096 0.875
7 Ca 0.750 0.404 0.375
8 Ca 0.904 0.750 0.125
9 Tc 0.000 0.000 0.000
10 Tc 0.000 0.500 0.250
11 Tc 0.500 0.000 0.750
12 Tc 0.500 0.500 0.500
13 Sn 0.000 0.000 0.500
14 Sn 0.000 0.500 0.750
15 Sn 0.500 0.000 0.250
16 Sn 0.500 0.500 0.000

## Properties
The energy relative to the elements comes out at 0.352 eV/atom. The total magnetization comes out at 1.51 Bohr magnetons per cell. The density of states at the Fermi level is 4.677 states/eV/f.u. The total energy comes out at -4.24 eV per atom.